No. 1
## AgPAu (SCAN)

Data for a PBEsol-optimized structure of AgPAu.

Calculated values
The value obtained for the density of states at the Fermi level is 0.289 states/eV per atom. The calculation puts the formation enthalpy at 0 K at 335 meV per atom.

a = 6.4511 Å, b = 6.4511 Å, c = 6.4511 Å
α = 154.78°, β = 154.78°, γ = 35.96°
Closest atoms and distances in Å follow each position.
Element x y z (fractional)
Ag1 0.0000 0.0000 0.0000  4 P 2.81, 4 Ag 2.82, 4 Au 2.92
P1 0.3386 0.3386 0.0000  4 Ag 2.81, 4 P 2.82, 4 Au 2.83
Au1 0.6745 0.6745 0.0000  4 Au 2.82, 4 P 2.83, 4 Ag 2.92


No. 2
## YCdBr3 (SCAN)

Data for a PBEsol-optimized structure of YCdBr3.

Calculated values
The formation energy (no corrections) comes out at -1.418 eV per atom.

a = 5.5190 Å, b = 5.5190 Å, c = 5.5190 Å
α = 90.00°, β = 90.00°, γ = 90.00°
Closest atoms and distances in Å follow each position.
Element x y z (fractional)
Y1 0.0000 0.0000 0.0000  6 Br 2.76
Cd1 0.5000 0.5000 0.5000  12 Br 3.90
Br1 0.0000 0.0000 0.5000  2 Y 2.76
Br2 0.0000 0.5000 0.0000  2 Y 2.76
Br3 0.5000 0.0000 0.0000  2 Y 2.76


No. 3
## NaCaSc2Ag (SCAN)

Data for a PBEsol-optimized structure of NaCaSc2Ag.

Calculated values
The value obtained for the density of states at the Fermi level is 1.154 states/eV per atom. The calculation puts the formation enthalpy at 0 K at 290 meV per atom.

a = 5.2301 Å, b = 5.2301 Å, c = 5.4771 Å
α = 90.00°, β = 90.00°, γ = 90.00°
Closest atoms and distances in Å follow each position.
Element x y z (fractional)
Na1 0.0000 0.0000 0.0000  2 Ag 2.74
Ca1 0.5000 0.5000 0.0000  4 Na 3.70, 8 Sc 3.79
Sc1 0.0000 0.5000 0.5000  2 Ag 2.62
Sc2 0.5000 0.0000 0.5000  2 Ag 2.62
Ag1 0.0000 0.0000 0.5000  4 Sc 2.62, 2 Na 2.74


No. 4
## Zr2AgAu (SCAN)

Data for a PBEsol-optimized structure of Zr2AgAu.

Calculated values
The value obtained for the density of states at the Fermi level is 0.929 states/eV per atom. The calculation puts the formation enthalpy at 0 K at -377 meV per atom.

a = 3.0162 Å, b = 4.2024 Å, c = 5.9195 Å
α = 90.00°, β = 90.00°, γ = 90.00°
Closest atoms and distances in Å follow each position.
Element x y z (fractional)
Zr1 0.0000 0.0000 0.2463  4 Zr 2.92-3.02, 4 Au 2.97, 4 Ag 2.99
Zr2 0.0000 0.0000 0.7537  4 Zr 2.92-3.02, 4 Au 2.97, 4 Ag 2.99
Ag1 0.5000 0.5000 0.5000  2 Au 2.96, 8 Zr 2.99, 2 Ag 3.02
Au1 0.5000 0.5000 0.0000  2 Ag 2.96, 8 Zr 2.97, 2 Au 3.02


No. 5
## Li3Cu (SCAN)

Data for a PBEsol-optimized structure of Li3Cu.

Calculated values
The value obtained for the density of states at the Fermi level is 0.337 states/eV per atom. The calculation puts the formation enthalpy at 0 K at 34 meV per atom.

a = 5.3265 Å, b = 5.3265 Å, c = 5.3265 Å
α = 150.85°, β = 62.19°, γ = 126.38°
Closest atoms and distances in Å follow each position.
Element x y z (fractional)
Li1 0.0000 0.0000 0.0000  4 Cu 2.62-2.88, 8 Li 2.68-2.90
Li2 0.4017 0.6277 0.7740  2 Cu 2.57, 7 Li 2.68-2.79
Li3 0.8537 0.6277 0.2260  2 Cu 2.57, 7 Li 2.68-2.79
Cu1 0.4696 0.9696 0.5000  8 Li 2.57-2.88, 2 Cu 2.68


No. 6
## Tl2CuNi (SCAN)

Data for a PBEsol-optimized structure of Tl2CuNi.

Calculated values
The value obtained for the density of states at the Fermi level is 0.460 states/eV per atom. The calculation puts the formation enthalpy at 0 K at 328 meV per atom.

a = 6.1093 Å, b = 6.1093 Å, c = 6.1093 Å
α = 151.15°, β = 139.03°, γ = 50.88°
Closest atoms and distances in Å follow each position.
Element x y z (fractional)
Tl1 0.0000 0.0000 0.0000  4 Ni 2.62, 2 Cu 2.90
Tl2 0.7217 0.2217 0.5000  4 Cu 2.85, 2 Ni 2.86, 2 Tl 3.04
Cu1 0.3229 0.8229 0.5000  2 Ni 2.50
Ni1 0.5024 0.5024 0.0000  2 Cu 2.50, 4 Tl 2.62